# PBE+U BaCo2F6, relaxed
# - Electronic total energy: -47.8 eV for the cell shown
# - Density of states at the Fermi level: 0.00 states/eV/f.u.
data_BaCo2F6
_chemical_formula_sum 'Ba1 Co2 F6'
_symmetry_space_group_name_H-M 'P -3 1 m'
_symmetry_Int_Tables_number 162
_symmetry_space_group_name_Hall '-P 3 2'
_cell_length_a 5.4854
_cell_length_b 5.4854
_cell_length_c 5.6056
_cell_angle_alpha 90.00
_cell_angle_beta 90.00
_cell_angle_gamma 120.00
loop_
_atom_site_label
_atom_site_type_symbol
_atom_site_fract_x
_atom_site_fract_y
_atom_site_fract_z
Ba1 Ba 0.0000 0.0000 0.0000
Co1 Co 0.3333 0.6667 0.5000
F1 F 0.0000 0.3704 0.7012